(1)
Density functional theory data (PBE) for Ca2MnP after structural relaxation.

```
Ca2MnP
1.0
4.171 -0.535 0.334
2.536 3.355 0.334
1.596 0.671 7.690
P Ca Mn
1 2 1
Cartesian
6.227 2.618 6.269
1.636 0.688 7.246
4.112 1.729 4.624
2.076 0.873 2.090
```

Output
The formation energy comes out at -107 meV/atom. As for the total energy: -4.75 eV/atom. As for the space-group type: R-3m.

=====

(2)
Density functional theory data (PBE) for BHCl2 after structural relaxation.

```
BHCl2
1.0
5.752 0.000 0.000
0.000 5.752 0.000
2.876 2.876 3.392
B H Cl
2 2 4
Cartesian
0.000 0.000 0.000
5.752 2.876 1.696
2.876 5.752 1.696
2.876 2.876 0.000
7.190 7.618 2.544
1.010 4.314 0.848
4.314 3.886 2.544
4.742 1.438 0.848
```

Output
As for the total energy: -2.62 eV/atom. As for the space-group type: I-42d. For the polymorph energy (0 for the lowest one), the calculation gives 1427 meV/atom.